The following is a GGA+U calculation of an optimized crystal structure of NiGeO, from Alexandria.

Results
Fermi-level density of states (states/eV/atom): 0.54
Uncorrected energy (eV per atom): -4.40
Space-group type: I4mm (107)

Structure (CIF):
```
data_NiGeO
_chemical_formula_sum 'Ni1 Ge1 O1'
_space_group_name_H-M_alt 'P 1'
_space_group_IT_number 1
_cell_length_a 5.3087
_cell_length_b 5.3087
_cell_length_c 5.3087
_cell_angle_alpha 148.43
_cell_angle_beta 148.43
_cell_angle_gamma 45.25
loop_
_space_group_symop_operation_xyz
'x,y,z'
loop_
_atom_site_label
_atom_site_fract_x
_atom_site_fract_y
_atom_site_fract_z
Ni1 0.0000 0.0000 0.0000
Ge1 0.2704 0.2704 0.0000
O1 0.4719 0.4719 0.0000
```